[1]
A relaxed KAcCd crystal. Source: OQMD via LeMat-Bulk, functional PBE-GGA.

- space group = No. 216
- size of the total moment (μB per cell) = 0.0
- energy relative to the lowest polymorph listed for this composition (eV per atom) = 0.000

a = 5.716 Å, b = 5.716 Å, c = 5.716 Å
α = 60.00°, β = 60.00°, γ = 60.00°
Sites, in units of the cell vectors:
K (0.000, 0.000, 0.000)
Ac (0.500, 0.500, 0.500)
Cd (0.750, 0.750, 0.750)

***

[2]
A relaxed AlGaHgTe2Se2 crystal. Source: OQMD via LeMat-Bulk, functional PBE-GGA.

- space group = No. 5
- final energy (eV/f.u.) = -23.58

a = 7.080 Å, b = 7.080 Å, c = 6.042 Å
α = 114.10°, β = 114.10°, γ = 106.59°
Sites, in units of the cell vectors:
Al (0.000, 0.000, 0.000)
Ga (0.768, 0.232, 0.500)
Hg (0.261, 0.739, 0.500)
Te (0.404, 0.163, 0.031)
Te (0.837, 0.596, 0.969)
Se (0.126, 0.325, 0.488)
Se (0.675, 0.874, 0.512)